1.
Material: LaCeAl4
Method: DFT, GGA-PBEsol
State: optimized geometry

Geometry as POSCAR:
```
LaCeAl4
1.0
0.000 3.982 3.982
3.982 0.000 3.982
3.982 3.982 0.000
La Ce Al
1 1 4
Cartesian
0.000 0.000 0.000
5.973 5.973 5.973
2.991 2.991 2.991
4.973 4.973 2.991
4.973 2.991 4.973
2.991 4.973 4.973
```

Calculated values
* DFT formation energy: -0.442 eV/atom
* raw total energy: -5.160 eV/atom
* magnetization: 0.65 μB per formula unit

---

2.
Material: Zn2Sn2Pb
Method: DFT, GGA-PBEsol
State: optimized geometry

Geometry as POSCAR:
```
Zn2Sn2Pb
1.0
-2.255 2.255 5.843
2.255 -2.255 5.843
2.255 2.255 -5.843
Zn Sn Pb
2 2 1
Cartesian
2.255 0.000 2.922
0.000 2.255 2.922
0.000 0.000 1.403
0.000 0.000 10.283
0.000 0.000 5.843
```

Calculated values
* DFT formation energy: 0.145 eV/atom
* excess energy over the best structure of this formula in the dataset: 0.25 eV/f.u.
* raw total energy: -2.991 eV/atom
* magnetization: 0.00 μB per formula unit

---

3.
Material: GeHS2N
Method: DFT, GGA-PBEsol
State: optimized geometry

Geometry as POSCAR:
```
GeHS2N
1.0
4.811 0.000 0.000
0.000 4.811 0.000
0.000 0.000 2.645
Ge H S N
1 1 2 1
Cartesian
0.000 0.000 0.000
2.405 2.405 1.322
0.000 2.405 1.322
2.405 0.000 1.322
2.405 2.405 0.000
```

Calculated values
* raw total energy: -4.141 eV/atom
* magnetization: 0.37 μB per formula unit

---

4.
Material: KLa2Sc
Method: DFT, GGA-PBEsol
State: optimized geometry

Geometry as POSCAR:
```
KLa2Sc
1.0
0.000 4.111 4.111
4.111 0.000 4.111
4.111 4.111 0.000
K La Sc
1 2 1
Cartesian
0.000 0.000 0.000
2.056 2.056 2.056
6.167 6.167 6.167
4.111 4.111 4.111
```

Calculated values
* DFT formation energy: 0.530 eV/atom
* raw total energy: -4.078 eV/atom
* magnetization: 0.00 μB per formula unit

---

What is the magnetization in the first record? 0.65 μB per formula unit